1.
DFT (PBE) results for Mn6CoRu5 after structural relaxation.

Crystal system: orthorhombic
M_tot (μB per formula unit): 19.55
Calculated formation energy (eV/atom): 0.034

```
data_Mn6CoRu5
_cell_length_a 4.216
_cell_length_b 5.960
_cell_length_c 12.615
_cell_angle_alpha 90.00
_cell_angle_beta 90.00
_cell_angle_gamma 90.00
_space_group_name_H-M_alt 'I m m m'
_space_group_IT_number 71
_space_group_name_Hall '-I 2 2'
loop_
_atom_site_label
_atom_site_type_symbol
_atom_site_fract_x
_atom_site_fract_y
_atom_site_fract_z
Mn1 Mn 0.000 0.240 0.000
Mn2 Mn 0.000 0.255 0.337
Co1 Co 0.000 0.500 0.500
Ru1 Ru 0.000 0.000 0.170
Ru2 Ru 0.000 0.000 0.500
Ru3 Ru 0.000 0.500 0.167
```

=====

2.
DFT (PBE) results for LiCaSn5 after structural relaxation.

Crystal system: tetragonal
M_tot (μB per formula unit): 0.00
Calculated formation energy (eV/atom): -0.259

```
data_LiCaSn5
_cell_length_a 4.542
_cell_length_b 4.542
_cell_length_c 8.827
_cell_angle_alpha 90.00
_cell_angle_beta 90.00
_cell_angle_gamma 90.00
_space_group_name_H-M_alt 'P 4/m m m'
_space_group_IT_number 123
_space_group_name_Hall '-P 4 2'
loop_
_atom_site_label
_atom_site_type_symbol
_atom_site_fract_x
_atom_site_fract_y
_atom_site_fract_z
Li1 Li 0.000 0.000 0.000
Ca1 Ca 0.500 0.500 0.500
Sn1 Sn 0.000 0.000 0.500
Sn2 Sn 0.000 0.500 0.207
```

=====

3.
DFT (PBE) results for Ba2PrTc2N6 after structural relaxation.

Crystal system: monoclinic
Uncorrected formation energy (eV per atom): -0.613
M_tot (μB per formula unit): 0.00

```
data_Ba2PrTc2N6
_cell_length_a 10.942
_cell_length_b 6.253
_cell_length_c 7.343
_cell_angle_alpha 90.00
_cell_angle_beta 123.20
_cell_angle_gamma 90.00
_space_group_name_H-M_alt 'C 1 2/m 1'
_space_group_IT_number 12
_space_group_name_Hall '-C 2y'
loop_
_atom_site_label
_atom_site_type_symbol
_atom_site_fract_x
_atom_site_fract_y
_atom_site_fract_z
Ba1 Ba 0.215 0.000 0.190
Pr1 Pr 0.000 0.000 0.500
Tc1 Tc 0.035 0.500 0.199
N1 N 0.053 0.263 0.784
N2 N 0.231 0.500 0.361
```

=====

4.
DFT (PBE) results for NdMgNiPd after structural relaxation.

Crystal system: cubic
M_tot (μB per formula unit): 0.00
Calculated formation energy (eV/atom): -0.416

```
data_NdMgNiPd
_cell_length_a 6.793
_cell_length_b 6.793
_cell_length_c 6.793
_cell_angle_alpha 90.00
_cell_angle_beta 90.00
_cell_angle_gamma 90.00
_space_group_name_H-M_alt 'F -4 3 m'
_space_group_IT_number 216
_space_group_name_Hall 'F -4 2 3'
loop_
_atom_site_label
_atom_site_type_symbol
_atom_site_fract_x
_atom_site_fract_y
_atom_site_fract_z
Nd1 Nd 0.000 0.000 0.000
Mg1 Mg 0.000 0.000 0.500
Ni1 Ni 0.250 0.250 0.750
Pd1 Pd 0.250 0.250 0.250
```

=====

5.
DFT (PBE) results for CaAc3Sb3 after structural relaxation.

Crystal system: cubic
Uncorrected formation energy (eV per atom): -1.004
M_tot (μB per formula unit): 0.00

```
data_CaAc3Sb3
_cell_length_a 9.985
_cell_length_b 9.985
_cell_length_c 9.985
_cell_angle_alpha 90.00
_cell_angle_beta 90.00
_cell_angle_gamma 90.00
_space_group_name_H-M_alt 'P 21 3'
_space_group_IT_number 198
_space_group_name_Hall 'P 2ac 2ab 3'
loop_
_atom_site_label
_atom_site_type_symbol
_atom_site_fract_x
_atom_site_fract_y
_atom_site_fract_z
Ca1 Ca 0.067 0.433 0.567
Ac1 Ac 0.070 0.570 0.930
Ac2 Ac 0.177 0.177 0.177
Ac3 Ac 0.182 0.818 0.318
Sb1 Sb 0.003 0.745 0.626
```

=====

6.
DFT (PBE) results for KHfB after structural relaxation.

Energy above the most stable polymorph in this dataset (eV/atom): 0.8404
Crystal system: hexagonal
M_tot (μB per formula unit): 0.91
Calculated formation energy (eV/atom): 0.772

```
data_KHfB
_cell_length_a 3.9176
_cell_length_b 3.9176
_cell_length_c 12.1987
_cell_angle_alpha 90.00
_cell_angle_beta 90.00
_cell_angle_gamma 120.00
_space_group_name_H-M_alt 'P 63/m m c'
_space_group_IT_number 194
_space_group_name_Hall '-P 6c 2c'
loop_
_atom_site_label
_atom_site_type_symbol
_atom_site_fract_x
_atom_site_fract_y
_atom_site_fract_z
K1 K 0.0000 0.0000 0.0000
Hf1 Hf 0.3333 0.6667 0.2500
B1 B 0.3333 0.6667 0.7500
```